This record from Alexandria via LeMat-Bulk describes a relaxed Ac2CoPbO6 crystal. The functional is PBE+U.

- size of the total moment (μB/cell) = 5.929
- energy (eV per cell) = -137.118
- ρ (g/cm3) = 9.15
- space group = No. 14

Cell lengths 5.8711, 6.0650, 8.3185 Å; angles 90.00, 89.68, 90.00 degrees
Closest atoms and distances in Å follow each position.
Fractional coordinates of all 20 atoms:
O (0.6989, 0.2933, 0.9488)  1 Co 2.17, 1 Pb 2.21
O (0.3011, 0.7067, 0.0512)  1 Co 2.17, 1 Pb 2.21
O (0.9036, 0.5321, 0.2564)  1 Co 2.12, 1 Pb 2.21
O (0.7942, 0.7999, 0.9493)  1 Co 2.15, 1 Pb 2.23
O (0.0964, 0.4679, 0.7436)  1 Co 2.12, 1 Pb 2.21
O (0.7058, 0.2999, 0.5507)  1 Co 2.15, 1 Pb 2.23
O (0.4036, 0.9679, 0.7564)  1 Co 2.12, 1 Pb 2.21
O (0.8011, 0.7933, 0.5512)  1 Co 2.17, 1 Pb 2.21
O (0.1989, 0.2067, 0.4488)  1 Co 2.17, 1 Pb 2.21
O (0.2058, 0.2001, 0.0507)  1 Co 2.15, 1 Pb 2.23
O (0.2942, 0.7001, 0.4493)  1 Co 2.15, 1 Pb 2.23
O (0.5964, 0.0321, 0.2436)  1 Co 2.12, 1 Pb 2.21
Pb (0.5000, 0.0000, 0.5000)  6 O 2.21-2.23
Pb (0.0000, 0.5000, 0.0000)  6 O 2.21-2.23
Ac (0.0133, 0.9463, 0.2501)  6 O 2.50-2.78
Ac (0.5133, 0.5537, 0.7501)  6 O 2.50-2.78
Ac (0.9867, 0.0537, 0.7499)  6 O 2.50-2.78
Ac (0.4867, 0.4463, 0.2499)  6 O 2.50-2.78
Co (0.0000, 0.5000, 0.5000)  6 O 2.12-2.17
Co (0.5000, 0.0000, 0.0000)  6 O 2.12-2.17